# BaMnF4 (PBE with a Hubbard U, relaxed)
# Offset from the most stable computed form in meV per atom: 60
# E_tot in eV/atom: -6.0342
# DOS(E_F) in states/eV per atom: 0.00
# Theoretical density in g cm⁻³: 3.6
data_BaMnF4
_chemical_formula_sum 'Ba4 Mn4 F16'
_symmetry_space_group_name_H-M 'I 41/a m d'
_symmetry_Int_Tables_number 141
_cell_length_a 8.136
_cell_length_b 8.136
_cell_length_c 7.563
_cell_angle_alpha 90.00
_cell_angle_beta 90.00
_cell_angle_gamma 90.00
loop_
_symmetry_equiv_pos_as_xyz
'x,y,z'
'-x,-y,-z'
'-y+1/4,x+3/4,z+1/4'
'y+1/4,-x+3/4,-z+1/4'
'-x+1/2,-y,z+1/2'
'x+1/2,y,-z+1/2'
'y+1/4,-x+1/4,z+3/4'
'-y+1/4,x+1/4,-z+3/4'
'x,-y,-z'
'-x,y,z'
'-y+1/4,-x+1/4,-z+3/4'
'y+1/4,x+1/4,z+3/4'
'-x+1/2,y,-z+1/2'
'x+1/2,-y,z+1/2'
'y+1/4,x+3/4,-z+1/4'
'-y+1/4,-x+3/4,z+1/4'
'x+1/2,y+1/2,z+1/2'
'-x+1/2,-y+1/2,-z+1/2'
'-y+3/4,x+1/4,z+3/4'
'y+3/4,-x+1/4,-z+3/4'
'-x,-y+1/2,z'
'x,y+1/2,-z'
'y+3/4,-x+3/4,z+1/4'
'-y+3/4,x+3/4,-z+1/4'
'x+1/2,-y+1/2,-z+1/2'
'-x+1/2,y+1/2,z+1/2'
'-y+3/4,-x+3/4,-z+1/4'
'y+3/4,x+3/4,z+1/4'
'-x,y+1/2,-z'
'x,-y+1/2,z'
'y+3/4,x+1/4,-z+3/4'
'-y+3/4,-x+1/4,z+3/4'
loop_
_atom_site_label
_atom_site_fract_x
_atom_site_fract_y
_atom_site_fract_z
_atom_site_occupancy
Ba1 0.000 0.250 0.375 1
Mn1 0.000 0.250 0.875 1
F1 0.000 0.072 0.688 1